No. 1
Ac2Tl2Ag15 | PBE | relaxed

Results
For the formation energy from the elements, the calculation gives -0.08 eV/atom. For the size of the total moment, the calculation gives 0.000 μB per atom.

Cell: 7.494 7.494 7.494 Å, 83.08 83.08 83.08°
Fractional positions:
Ac  0.151  0.151  0.151
Ac  0.849  0.849  0.849
Tl  0.396  0.396  0.396
Tl  0.604  0.604  0.604
Ag  0.000  0.500  0.500
Ag  0.149  0.149  0.661
Ag  0.149  0.661  0.149
Ag  0.191  0.500  0.809
Ag  0.191  0.809  0.500
Ag  0.339  0.851  0.851
Ag  0.500  0.000  0.500
Ag  0.500  0.191  0.809
Ag  0.500  0.500  0.000
Ag  0.500  0.809  0.191
Ag  0.661  0.149  0.149
Ag  0.809  0.191  0.500
Ag  0.809  0.500  0.191
Ag  0.851  0.339  0.851
Ag  0.851  0.851  0.339

---

No. 2
RbTbPt4 | PBE | relaxed

Results
For the formation energy from the elements, the calculation gives -0.55 eV/atom. For the size of the total moment, the calculation gives 0.000 μB per atom.

Cell: 5.525 5.525 5.525 Å, 60.00 60.00 60.00°
Fractional positions:
Rb  0.000  0.000  0.000
Tb  0.250  0.250  0.250
Pt  0.126  0.625  0.625
Pt  0.625  0.126  0.625
Pt  0.625  0.625  0.126
Pt  0.625  0.625  0.625

---

No. 3
SrGe2H2 | PBE | relaxed

Results
For the size of the total moment, the calculation gives 0.000 μB per atom. The value obtained for the calculated total energy is -3.52 eV/atom.

Cell: 6.750 6.750 3.880 Å, 90.00 90.00 90.00°
Fractional positions:
Sr  0.000  0.000  0.000
Sr  0.500  0.500  0.000
Ge  0.132  0.368  0.500
Ge  0.368  0.868  0.500
Ge  0.632  0.132  0.500
Ge  0.868  0.632  0.500
H  0.157  0.343  0.000
H  0.343  0.843  0.000
H  0.657  0.157  0.000
H  0.843  0.657  0.000

---

No. 4
La2ReBiSe | PBE | relaxed

Results
As for the raw formation energy: -0.38 eV/atom. For the size of the total moment, the calculation gives 0.000 μB per atom.

Cell: 5.754 5.754 4.646 Å, 90.00 90.00 90.00°
Fractional positions:
La  0.000  0.500  0.000
La  0.500  0.000  0.000
Re  0.000  0.000  0.000
Bi  0.500  0.500  0.500
Se  0.000  0.000  0.500

---

No. 5
CrCo2Mo2 | PBE | relaxed

Results
For the formation energy from the elements, the calculation gives 0.23 eV/atom. For the size of the total moment, the calculation gives 0.000 μB per atom.

Cell: 6.073 6.073 3.563 Å, 90.00 90.00 90.00°
Fractional positions:
Cr  0.000  0.000  0.000
Cr  0.500  0.500  0.000
Co  0.131  0.369  0.000
Co  0.369  0.869  0.000
Co  0.631  0.131  0.000
Co  0.869  0.631  0.000
Mo  0.173  0.673  0.500
Mo  0.327  0.173  0.500
Mo  0.673  0.827  0.500
Mo  0.827  0.327  0.500

---

No. 6
Hg6Bi2Pb5 | PBE | relaxed

Results
For the formation energy from the elements, the calculation gives 0.37 eV/atom. For the size of the total moment, the calculation gives 0.000 μB per atom.

Cell: 10.860 10.860 10.860 Å, 46.45 46.45 46.45°
Fractional positions:
Hg  0.000  0.335  0.665
Hg  0.000  0.665  0.335
Hg  0.335  0.000  0.665
Hg  0.335  0.665  0.000
Hg  0.665  0.000  0.335
Hg  0.665  0.335  0.000
Bi  0.399  0.399  0.399
Bi  0.601  0.601  0.601
Pb  0.058  0.058  0.058
Pb  0.276  0.276  0.276
Pb  0.500  0.500  0.500
Pb  0.724  0.724  0.724
Pb  0.942  0.942  0.942